1.
TcWBr, single point on PBEsol structure, DFT SCAN; DOS(E_F) = 0.383 states/eV/atom
1.0
-0.832 -0.813 2.718
-1.077 -3.855 -1.483
3.961 0.708 1.424
Br Tc W
1 1 1
Direct
0.027 0.000 0.000 Br
0.744 0.333 0.667 Tc
0.229 0.667 0.333 W


2.
TcWBr2, single point on PBEsol structure, DFT SCAN; DOS(E_F) = 0.752 states/eV/atom
1.0
4.225 0.000 0.000
-2.113 4.355 -0.038
0.000 2.082 3.677
Br Tc W
2 1 1
Direct
0.000 0.000 0.000 Br
0.250 0.500 0.250 Br
0.500 0.000 0.500 Tc
0.750 0.500 0.750 W


3.
YTcBr2, single point on PBEsol structure, DFT SCAN; DOS(E_F) = 0.366 states/eV/atom
1.0
3.475 0.000 0.000
0.000 3.475 0.000
0.000 0.000 6.735
Y Tc Br
1 1 2
Direct
0.500 0.500 0.500 Y
0.500 0.500 0.000 Tc
0.000 0.000 0.745 Br
0.000 0.000 0.255 Br


4.
YTcBr2, single point on PBEsol structure, DFT SCAN; DOS(E_F) = 0.521 states/eV/atom
1.0
-2.522 1.586 2.198
-2.625 -2.178 -1.440
1.229 -4.610 4.735
Y Tc Br
1 1 2
Direct
0.500 0.500 0.732 Y
0.000 0.000 0.530 Tc
0.000 0.000 0.922 Br
0.500 0.500 0.315 Br


5.
YTcBr, single point on PBEsol structure, DFT SCAN; DOS(E_F) = 2.339 states/eV/atom
1.0
4.738 0.000 0.000
2.369 4.103 0.000
2.369 1.368 3.869
Y Tc Br
1 1 1
Direct
0.750 0.750 0.750 Y
0.500 0.500 0.500 Tc
0.000 0.000 0.000 Br


6.
ZnTcBr2, single point on PBEsol structure, DFT SCAN; DOS(E_F) = 1.014 states/eV/atom
1.0
-3.574 -3.075 1.095
-0.955 -3.740 -2.920
1.037 -4.508 1.424
Br Tc Zn
2 1 1
Direct
0.000 0.000 0.000 Br
0.750 0.750 0.750 Br
0.500 0.500 0.500 Tc
0.250 0.250 0.250 Zn


7.
Zn2TcBr, single point on PBEsol structure, DFT SCAN; DOS(E_F) = 0.453 states/eV/atom
1.0
2.985 0.027 0.000
-1.057 2.791 0.000
0.000 0.000 7.995
Br Tc Zn
1 1 2
Direct
0.500 0.500 0.500 Br
0.500 0.500 0.000 Tc
0.000 0.000 0.231 Zn
0.000 0.000 0.769 Zn


8.
Zn2TcBr, single point on PBEsol structure, DFT SCAN; DOS(E_F) = 0.429 states/eV/atom
1.0
-0.071 0.139 2.932
4.388 -0.437 0.127
0.485 4.815 -0.217
Br Tc Zn
1 1 2
Direct
0.500 0.000 0.500 Br
0.000 0.500 0.500 Tc
0.000 0.000 0.000 Zn
0.500 0.500 0.000 Zn


9.
ZnTcBr2, single point on PBEsol structure, DFT SCAN; DOS(E_F) = 0.832 states/eV/atom
1.0
4.597 -0.023 -0.033
-2.277 3.993 0.033
-2.277 -1.332 3.765
Br Tc Zn
2 1 1
Direct
0.500 0.750 0.250 Br
0.500 0.250 0.750 Br
0.000 0.000 0.000 Tc
0.000 0.500 0.500 Zn


10.
Zn2TcBr, single point on PBEsol structure, DFT SCAN; DOS(E_F) = 0.517 states/eV/atom
1.0
3.188 0.000 0.000
0.000 4.457 0.000
0.000 0.000 4.457
Br Tc Zn
1 1 2
Direct
0.500 0.500 0.500 Br
0.500 0.000 0.000 Tc
0.000 0.000 0.500 Zn
0.000 0.500 0.000 Zn


11.
ZnTcBr2, single point on PBEsol structure, DFT SCAN; DOS(E_F) = 0.832 states/eV/atom
1.0
-1.664 -2.672 -0.223
3.212 -1.757 -2.931
1.941 -1.541 3.981
Br Tc Zn
2 1 1
Direct
0.000 0.500 0.000 Br
0.000 0.000 0.500 Br
0.500 0.000 0.000 Tc
0.500 0.500 0.500 Zn


12.
ZnTcBr2, single point on PBEsol structure, DFT SCAN; DOS(E_F) = 0.756 states/eV/atom
1.0
-2.355 -0.649 1.842
2.723 -1.734 0.329
3.233 6.281 6.346
Br Tc Zn
2 1 1
Direct
0.000 0.000 0.708 Br
0.000 0.000 0.292 Br
0.500 0.000 0.500 Tc
0.500 0.000 0.000 Zn


13.
Zn2TcBr, single point on PBEsol structure, DFT SCAN; DOS(E_F) = 0.508 states/eV/atom
1.0
3.733 0.000 0.000
0.000 3.733 0.000
-1.866 -1.866 4.442
Br Tc Zn
1 1 2
Direct
0.500 0.500 0.000 Br
0.000 0.000 0.000 Tc
0.750 0.250 0.500 Zn
0.250 0.750 0.500 Zn


14.
ZnTcBr2, single point on PBEsol structure, DFT SCAN; DOS(E_F) = 0.432 states/eV/atom
1.0
3.750 0.000 0.000
0.000 3.750 0.000
-1.875 -1.875 5.866
Br Tc Zn
2 1 1
Direct
0.000 0.000 0.000 Br
0.750 0.250 0.500 Br
0.500 0.500 0.000 Tc
0.250 0.750 0.500 Zn


15.
ZrTcBr2, single point on PBEsol structure, DFT SCAN; DOS(E_F) = 0.473 states/eV/atom
1.0
-0.599 1.046 3.315
2.422 -2.287 1.159
5.026 4.985 -0.665
Br Tc Zr
2 1 1
Direct
0.000 0.000 0.918 Br
0.500 0.500 0.318 Br
0.000 0.000 0.557 Tc
0.500 0.500 0.707 Zr


16.
ZrTcBr2, single point on PBEsol structure, DFT SCAN; DOS(E_F) = 0.492 states/eV/atom
1.0
3.097 0.000 0.000
0.000 4.449 0.000
0.000 0.000 5.609
Br Tc Zr
2 1 1
Direct
0.000 0.000 0.000 Br
0.500 0.000 0.500 Br
0.500 0.500 0.000 Tc
0.000 0.500 0.500 Zr


17.
ZrTcBr2, single point on PBEsol structure, DFT SCAN; DOS(E_F) = 0.727 states/eV/atom
1.0
3.121 0.000 0.000
0.000 3.121 0.000
0.000 0.000 8.375
Br Tc Zr
2 1 1
Direct
0.000 0.000 0.948 Br
0.500 0.500 0.323 Br
0.000 0.000 0.495 Tc
0.500 0.500 0.734 Zr


18.
Zr2TcBr, single point on PBEsol structure, DFT SCAN; DOS(E_F) = 0.713 states/eV/atom
1.0
-0.882 -2.886 -1.207
2.963 0.643 -3.703
2.885 -2.190 3.128
Br Tc Zr
1 1 2
Direct
0.500 0.000 0.000 Br
0.500 0.500 0.500 Tc
0.000 0.500 0.000 Zr
0.000 0.000 0.500 Zr


19.
Te2Br, single point on PBEsol structure, DFT SCAN; DOS(E_F) = 0.008 states/eV/atom
1.0
-1.508 -0.861 -3.598
8.161 -10.025 -1.020
-10.169 -8.930 6.400
Br Te
8 16
Direct
0.750 0.602 0.556 Br
0.250 0.102 0.944 Br
0.250 0.398 0.444 Br
0.750 0.898 0.056 Br
0.750 0.625 0.838 Br
0.250 0.125 0.662 Br
0.250 0.375 0.162 Br
0.750 0.875 0.338 Br
0.750 0.264 0.927 Te
0.250 0.764 0.573 Te
0.250 0.736 0.073 Te
0.750 0.236 0.427 Te
0.750 0.920 0.587 Te
0.250 0.420 0.913 Te
0.250 0.080 0.413 Te
0.750 0.580 0.087 Te
0.750 0.946 0.787 Te
0.250 0.446 0.713 Te
0.250 0.054 0.213 Te
0.750 0.554 0.287 Te
0.750 0.295 0.683 Te
0.250 0.795 0.817 Te
0.250 0.705 0.317 Te
0.750 0.205 0.183 Te


20.
TeBr3, single point on PBEsol structure, DFT SCAN; DOS(E_F) = 0.821 states/eV/atom
1.0
3.352 0.000 0.000
0.000 3.352 0.000
0.000 0.000 9.177
Te Br
1 3
Direct
0.000 0.000 0.000 Te
0.500 0.500 0.787 Br
0.000 0.000 0.500 Br
0.500 0.500 0.213 Br


21.
TeBr2, single point on PBEsol structure, DFT SCAN; DOS(E_F) = 0.451 states/eV/atom
1.0
-4.103 1.238 2.263
1.131 -4.677 -0.580
1.999 0.036 3.605
Te Br
1 2
Direct
0.000 0.000 0.000 Te
0.667 0.333 0.749 Br
0.333 0.667 0.251 Br


22.
Te2Br, single point on PBEsol structure, DFT SCAN; DOS(E_F) = 0.378 states/eV/atom
1.0
3.959 0.000 0.000
-1.979 6.798 -0.632
0.000 -1.341 7.061
Te Br
4 2
Direct
0.972 0.944 0.239 Te
0.682 0.363 0.806 Te
0.028 0.056 0.761 Te
0.318 0.637 0.194 Te
0.357 0.714 0.696 Br
0.643 0.286 0.304 Br


23.
TeBr3, single point on PBEsol structure, DFT SCAN; DOS(E_F) = 0.000 states/eV/atom
1.0
-1.543 4.590 4.704
0.276 -6.505 1.784
7.022 1.327 -0.670
Te Br
2 6
Direct
0.598 0.353 0.394 Te
0.353 0.598 0.394 Te
0.793 0.793 0.679 Br
0.976 0.307 0.114 Br
0.138 0.466 0.657 Br
0.635 0.635 0.134 Br
0.307 0.976 0.114 Br
0.466 0.138 0.657 Br


24.
TeBr3, single point on PBEsol structure, DFT SCAN; DOS(E_F) = 0.841 states/eV/atom
1.0
3.655 0.000 0.000
-1.827 3.311 0.000
0.000 0.000 9.442
Te Br
1 3
Direct
0.500 0.000 0.500 Te
0.000 0.000 0.720 Br
0.500 0.000 0.000 Br
0.000 0.000 0.280 Br


25.
Te5Br, single point on PBEsol structure, DFT SCAN; DOS(E_F) = 0.400 states/eV/atom
1.0
-2.577 -1.957 2.493
5.364 -4.265 -1.150
1.596 5.351 5.850
Te Br
5 1
Direct
0.721 0.442 0.619 Te
0.338 0.675 0.235 Te
0.389 0.779 0.618 Te
0.050 0.099 0.555 Te
0.673 0.346 0.124 Te
0.996 0.992 0.016 Br


26.
TeBr2: single point on PBEsol structure, SCAN.

Structure (POSCAR):
```
TeBr2
1.0
4.021 0.000 0.000
0.000 6.912 2.104
-2.011 1.001 7.905
Te Br
2 4
Direct
0.183 0.760 0.366 Te
0.734 0.995 0.467 Te
0.009 0.939 0.018 Br
0.577 0.283 0.154 Br
0.375 0.647 0.750 Br
0.289 0.211 0.578 Br
```


27.
Te5Br, single point on PBEsol structure, DFT SCAN; DOS(E_F) = 0.896 states/eV/atom
1.0
6.196 0.000 0.000
3.098 5.366 0.000
3.098 1.789 5.059
Te Br
5 1
Direct
0.250 0.250 0.250 Te
0.624 0.129 0.624 Te
0.624 0.624 0.624 Te
0.129 0.624 0.624 Te
0.624 0.624 0.129 Te
0.000 0.000 0.000 Br


28.
TlTe2Br, single point on PBEsol structure, DFT SCAN; DOS(E_F) = 0.341 states/eV/atom
1.0
3.095 0.000 0.000
0.000 3.095 0.000
0.000 0.000 12.406
Tl Te Br
1 2 1
Direct
0.500 0.500 0.000 Tl
0.000 0.000 0.770 Te
0.000 0.000 0.230 Te
0.500 0.500 0.500 Br


29.
TlTe2Br, single point on PBEsol structure, DFT SCAN; DOS(E_F) = 0.784 states/eV/atom
1.0
-1.644 5.029 0.612
-4.714 1.518 -1.960
-4.028 1.101 3.305
Tl Te Br
1 2 1
Direct
0.500 0.500 0.500 Tl
0.250 0.250 0.250 Te
0.750 0.750 0.750 Te
0.000 0.000 0.000 Br


no.,DFT total energy (eV/atom)
1,-40.3788
2,-34.3740
3,-25.5222
4,-25.8018
5,-26.7358
6,-20.9738
7,-20.0181
8,-19.7227
9,-21.1194
10,-19.8226
11,-20.9834
12,-21.3560
13,-19.7100
14,-21.2297
15,-26.4712
16,-25.9272
17,-26.3885
18,-29.0505
19,-31.4895
20,-23.5564
21,-25.2804
22,-31.4084
23,-24.2424
24,-23.8481
25,-34.2923
26,-25.6505
27,-33.9342
28,-41.5340
29,-41.2944